Entry 1:
Density functional theory data (GGA-PBE) for a relaxed structure of LaHg2W.

Results
excess energy over the best structure of this formula in the dataset	118	kJ/mol of formula units
density of states at the Fermi level	8.132	states/eV per cell

a b c (Å): 4.392 4.392 11.036
angles (deg): 78.52 78.52 90.00
Fractional positions:
Hg: 0.673 0.125 0.250
Hg: 0.875 0.923 0.750
Hg: 0.375 0.327 0.750
Hg: 0.077 0.625 0.250
La: 0.250 0.750 0.500
La: 0.500 0.500 0.000
W: 0.750 0.250 0.500
W: 0.000 0.000 0.000

=====

Entry 2:
Density functional theory data (GGA-PBE) for a relaxed structure of LaHgW3.

Results
excess energy over the best structure of this formula in the dataset	224	kJ/mol of formula units
density of states at the Fermi level	6.525	states/eV per cell

a b c (Å): 4.888 4.888 4.888
angles (deg): 90.00 90.00 90.00
Fractional positions:
La: 0.000 0.000 0.000
W: 0.500 0.000 0.000
W: 0.000 0.000 0.500
W: 0.000 0.500 0.000
Hg: 0.500 0.500 0.500

=====

Entry 3:
Density functional theory data (GGA-PBE) for a relaxed structure of LaHgW3.

Results
excess energy over the best structure of this formula in the dataset	0	kJ/mol of formula units
density of states at the Fermi level	9.958	states/eV per cell

a b c (Å): 5.039 5.039 5.039
angles (deg): 90.00 90.00 90.00
Fractional positions:
Hg: 0.000 0.000 0.000
W: 0.000 0.500 0.000
W: 0.000 0.000 0.500
W: 0.500 0.000 0.000
La: 0.500 0.500 0.500

=====

Entry 4:
Density functional theory data (GGA-PBE) for a relaxed structure of LaHg2W.

Results
excess energy over the best structure of this formula in the dataset	30	kJ/mol of formula units
density of states at the Fermi level	4.113	states/eV per cell

a b c (Å): 4.973 3.162 6.022
angles (deg): 89.98 90.00 90.00
Fractional positions:
La: 0.000 0.500 0.509
W: 0.500 0.999 0.752
Hg: 0.000 0.001 0.991
Hg: 0.500 0.000 0.248

=====

Entry 5:
Density functional theory data (GGA-PBE) for a relaxed structure of LaHg2W.

Results
excess energy over the best structure of this formula in the dataset	38	kJ/mol of formula units
density of states at the Fermi level	3.490	states/eV per cell

a b c (Å): 4.450 4.452 4.655
angles (deg): 90.00 90.00 90.00
Last column: magnetic moment on the atom in μB.
Fractional positions:
Hg: 0.000 0.000 0.000  -0.01
Hg: 0.500 0.500 0.000  -0.01
W: 0.000 0.500 0.500  0.83
La: 0.500 0.000 0.500  0.03

=====

Entry 6:
Density functional theory data (GGA-PBE) for a relaxed structure of LaHg2W.

Results
excess energy over the best structure of this formula in the dataset	67	kJ/mol of formula units
density of states at the Fermi level	2.642	states/eV per cell

a b c (Å): 5.358 5.358 3.157
angles (deg): 90.00 90.00 90.00
Last column: magnetic moment on the atom in μB.
Fractional positions:
La: 0.500 0.000 0.500  0.00
W: 0.000 0.500 0.500  0.08
Hg: 0.000 0.000 0.000  0.00
Hg: 0.500 0.500 0.000  0.00

=====

Entry 7:
Density functional theory data (GGA-PBE) for a relaxed structure of LaHg3W.

Results
excess energy over the best structure of this formula in the dataset	563	kJ/mol of formula units
density of states at the Fermi level	5.256	states/eV per cell

a b c (Å): 5.942 5.942 5.942
angles (deg): 90.00 90.00 90.00
Last column: magnetic moment on the atom in μB.
Fractional positions:
Hg: 0.500 0.000 0.000  -0.10
Hg: 0.000 0.000 0.500  0.01
Hg: 0.000 0.500 0.000  -0.04
La: 0.000 0.000 0.000  -0.40
W: 0.500 0.500 0.500  3.51

=====

Entry 8:
Density functional theory data (GGA-PBE) for a relaxed structure of LaHg4W.

Results
DFT total energy	-16.2	eV for the cell shown
density of states at the Fermi level	4.568	states/eV per cell

a b c (Å): 5.834 5.834 5.834
angles (deg): 60.00 60.00 60.00
Last column: magnetic moment on the atom in μB.
Fractional positions:
Hg: 0.374 0.877 0.374  -0.02
Hg: 0.877 0.374 0.374  -0.02
Hg: 0.374 0.374 0.877  -0.02
Hg: 0.374 0.374 0.374  -0.02
La: 0.750 0.750 0.750  0.07
W: 0.000 0.000 0.000  1.63